1.
PBEsol NaSiP, relaxed; SG = Cmcm (63); VASP energy = -4.608 eV/atom
1.0
1.7505 -7.9259 0.0000
1.7505 7.9259 0.0000
0.0000 0.0000 4.2936
Na Si P
2 2 2
Cartesian
1.7505 5.0520 3.2202
1.7505 -5.0520 1.0734
1.7505 7.3144 1.0734
1.7505 -7.3144 3.2202
1.7505 2.0395 3.2202
1.7505 -2.0395 1.0734

---

2.
PBEsol BeAl2CS, relaxed; SG = P4/mmm (123); VASP energy = -4.684 eV/atom
1.0
4.5527 0.0000 0.0000
0.0000 4.5527 0.0000
0.0000 0.0000 3.1400
Be Al C S
1 2 1 1
Cartesian
0.0000 0.0000 0.0000
0.0000 2.2764 0.0000
2.2764 0.0000 0.0000
0.0000 0.0000 1.5700
2.2764 2.2764 1.5700